NaSnAuSe3 | PBE | relaxed

Properties
- distance to the lowest polymorph of the same formula (meV per atom) = 52

Cell: 16.9194 4.0394 9.1187 Å, 90.00 104.86 90.00°
Last column: nearest neighbours and their distance in Å.
Space group C2/m (No. 12)
One atom of each set of equivalent atoms:
Na1 0.1323 0.0000 0.0614 (multiplicity 4)  6 Se 2.96-3.27
Sn1 0.1744 0.0000 0.5872 (multiplicity 4)  6 Se 2.81-2.95
Au1 0.0069 0.5000 0.7160 (multiplicity 4)  5 Se 2.59-2.80
Se1 0.0000 0.0000 0.5000 (multiplicity 2)  4 Au 2.80, 2 Sn 2.85
Se2 0.0000 0.5000 0.0000 (multiplicity 2)  2 Au 2.62
Se3 0.1538 0.5000 0.3444 (multiplicity 4)  1 Au 2.63, 1 Sn 2.81
Se4 0.1654 0.5000 0.8015 (multiplicity 4)  1 Au 2.59, 2 Sn 2.84